Record 1
# Mo2IrOs (SCAN, single point on PBEsol structure)
data_Mo2IrOs
_space_group_name_H-M_alt 'P 1'
_space_group_IT_number 1
_cell_length_a 2.742
_cell_length_b 2.742
_cell_length_c 7.746
_cell_angle_alpha 90.00
_cell_angle_beta 90.00
_cell_angle_gamma 90.00
loop_
_space_group_symop_operation_xyz
'x,y,z'
loop_
_atom_site_label
_atom_site_fract_x
_atom_site_fract_y
_atom_site_fract_z
Mo1 0.000 0.000 0.248
Mo2 0.000 0.000 0.752
Ir1 0.500 0.500 0.500
Os1 0.500 0.500 0.000
# Calculated total energy, eV per cell: -213.42
# SG: P4/mmm
# Density, g/cm3: 16.4

Record 2
# Ba2RhPb (SCAN, single point on PBEsol structure)
data_Ba2RhPb
_space_group_name_H-M_alt 'P 1'
_space_group_IT_number 1
_cell_length_a 9.613
_cell_length_b 9.613
_cell_length_c 9.613
_cell_angle_alpha 24.73
_cell_angle_beta 24.73
_cell_angle_gamma 24.73
loop_
_space_group_symop_operation_xyz
'x,y,z'
loop_
_atom_site_label
_atom_site_fract_x
_atom_site_fract_y
_atom_site_fract_z
Ba1 0.233 0.233 0.233
Ba2 0.767 0.767 0.767
Rh1 0.500 0.500 0.500
Pb1 0.000 0.000 0.000
# Calculated total energy, eV per cell: -189.13
# SG: R-3m
# Density, g/cm3: 7.1

Record 3
# K2LaPt (SCAN, single point on PBEsol structure)
data_K2LaPt
_space_group_name_H-M_alt 'P 1'
_space_group_IT_number 1
_cell_length_a 6.765
_cell_length_b 6.765
_cell_length_c 3.360
_cell_angle_alpha 90.00
_cell_angle_beta 90.00
_cell_angle_gamma 128.89
loop_
_space_group_symop_operation_xyz
'x,y,z'
loop_
_atom_site_label
_atom_site_fract_x
_atom_site_fract_y
_atom_site_fract_z
K1 0.000 0.500 0.000
K2 0.500 0.000 0.000
La1 0.000 0.000 0.500
Pt1 0.500 0.500 0.500
# Calculated total energy, eV per cell: -128.77
# SG: Cmmm
# Density, g/cm3: 5.7

Record 4
# TcMoRh2 (SCAN, single point on PBEsol structure)
data_TcMoRh2
_space_group_name_H-M_alt 'P 1'
_space_group_IT_number 1
_cell_length_a 2.679
_cell_length_b 3.876
_cell_length_c 5.359
_cell_angle_alpha 90.00
_cell_angle_beta 90.00
_cell_angle_gamma 90.00
loop_
_space_group_symop_operation_xyz
'x,y,z'
loop_
_atom_site_label
_atom_site_fract_x
_atom_site_fract_y
_atom_site_fract_z
Tc1 0.000 0.000 0.000
Mo1 0.000 0.000 0.500
Rh1 0.500 0.500 0.246
Rh2 0.500 0.500 0.754
# Calculated total energy, eV per cell: -138.07
# SG: Pmmm
# Density, g/cm3: 11.9

Record 5
# SrZr3As (SCAN, single point on PBEsol structure)
data_SrZr3As
_space_group_name_H-M_alt 'P 1'
_space_group_IT_number 1
_cell_length_a 5.015
_cell_length_b 5.015
_cell_length_c 5.015
_cell_angle_alpha 90.00
_cell_angle_beta 90.00
_cell_angle_gamma 90.00
loop_
_space_group_symop_operation_xyz
'x,y,z'
loop_
_atom_site_label
_atom_site_fract_x
_atom_site_fract_y
_atom_site_fract_z
Sr1 0.000 0.000 0.000
Zr1 0.000 0.000 0.500
Zr2 0.000 0.500 0.000
Zr3 0.500 0.000 0.000
As1 0.500 0.500 0.500
# Calculated total energy, eV per cell: -125.04
# SG: Pm-3m
# Density, g/cm3: 5.7

Record 6
# MgTl (SCAN, single point on PBEsol structure)
data_MgTl
_space_group_name_H-M_alt 'P 1'
_space_group_IT_number 1
_cell_length_a 3.396
_cell_length_b 3.396
_cell_length_c 10.133
_cell_angle_alpha 90.00
_cell_angle_beta 90.00
_cell_angle_gamma 120.00
loop_
_space_group_symop_operation_xyz
'x,y,z'
loop_
_atom_site_label
_atom_site_fract_x
_atom_site_fract_y
_atom_site_fract_z
Mg1 0.333 0.667 0.121
Mg2 0.667 0.333 0.879
Tl1 0.333 0.667 0.634
Tl2 0.667 0.333 0.366
# Calculated total energy, eV per cell: -154.67
# SG: P-3m1
# Density, g/cm3: 7.5

Record 7
# HoSi2 (SCAN, single point on PBEsol structure)
data_HoSi2
_space_group_name_H-M_alt 'P 1'
_space_group_IT_number 1
_cell_length_a 4.073
_cell_length_b 4.073
_cell_length_c 3.807
_cell_angle_alpha 90.00
_cell_angle_beta 90.00
_cell_angle_gamma 120.00
loop_
_space_group_symop_operation_xyz
'x,y,z'
loop_
_atom_site_label
_atom_site_fract_x
_atom_site_fract_y
_atom_site_fract_z
Ho1 0.000 0.000 0.000
Si1 0.333 0.667 0.500
Si2 0.667 0.333 0.500
# Calculated total energy, eV per cell: -70.46
# SG: P6/mmm
# Density, g/cm3: 6.7

Record 8
# BaSCl3 (SCAN, single point on PBEsol structure)
data_BaSCl3
_space_group_name_H-M_alt 'P 1'
_space_group_IT_number 1
_cell_length_a 5.938
_cell_length_b 5.938
_cell_length_c 5.938
_cell_angle_alpha 90.00
_cell_angle_beta 90.00
_cell_angle_gamma 90.00
loop_
_space_group_symop_operation_xyz
'x,y,z'
loop_
_atom_site_label
_atom_site_fract_x
_atom_site_fract_y
_atom_site_fract_z
Ba1 0.000 0.000 0.000
S1 0.500 0.500 0.500
Cl1 0.000 0.000 0.500
Cl2 0.000 0.500 0.000
Cl3 0.500 0.000 0.000
# Calculated total energy, eV per cell: -77.44
# SG: Pm-3m
# Density, g/cm3: 2.2

Record 9
# BaMo2P4O16 (SCAN, single point on PBEsol structure)
data_BaMo2P4O16
_space_group_name_H-M_alt 'P 1'
_space_group_IT_number 1
_cell_length_a 6.463
_cell_length_b 12.403
_cell_length_c 9.210
_cell_angle_alpha 90.00
_cell_angle_beta 123.81
_cell_angle_gamma 90.00
loop_
_space_group_symop_operation_xyz
'x,y,z'
loop_
_atom_site_label
_atom_site_fract_x
_atom_site_fract_y
_atom_site_fract_z
Ba1 0.000 0.000 0.000
Ba2 0.000 0.500 0.500
Mo1 0.463 0.190 0.664
Mo2 0.463 0.310 0.164
Mo3 0.537 0.690 0.836
Mo4 0.537 0.810 0.336
P1 0.122 0.693 0.932
P2 0.122 0.807 0.432
P3 0.343 0.556 0.248
P4 0.343 0.944 0.748
P5 0.657 0.056 0.252
P6 0.657 0.444 0.752
P7 0.878 0.193 0.568
P8 0.878 0.307 0.068
O1 0.160 0.209 0.667
O2 0.160 0.291 0.167
O3 0.177 0.530 0.307
O4 0.177 0.970 0.807
O5 0.182 0.586 0.044
O6 0.182 0.914 0.544
O7 0.189 0.672 0.799
O8 0.189 0.828 0.299
O9 0.271 0.715 0.558
O10 0.271 0.785 0.058
O11 0.327 0.157 0.455
O12 0.327 0.343 0.955
O13 0.466 0.148 0.154
O14 0.466 0.352 0.654
O15 0.492 0.539 0.742
O16 0.492 0.961 0.242
O17 0.508 0.039 0.758
O18 0.508 0.461 0.258
O19 0.534 0.648 0.346
O20 0.534 0.852 0.846
O21 0.673 0.657 0.045
O22 0.673 0.843 0.545
O23 0.729 0.215 0.942
O24 0.729 0.285 0.442
O25 0.811 0.172 0.701
O26 0.811 0.328 0.201
O27 0.818 0.086 0.456
O28 0.818 0.414 0.956
O29 0.823 0.030 0.193
O30 0.823 0.470 0.693
O31 0.840 0.709 0.833
O32 0.840 0.791 0.333
# Calculated total energy, eV per cell: -615.27
# SG: P2_1/c
# Density, g/cm3: 3.8

Record 10
# MnBr3Cl (SCAN, single point on PBEsol structure)
data_MnBr3Cl
_space_group_name_H-M_alt 'P 1'
_space_group_IT_number 1
_cell_length_a 4.947
_cell_length_b 4.947
_cell_length_c 4.947
_cell_angle_alpha 90.00
_cell_angle_beta 90.00
_cell_angle_gamma 90.00
loop_
_space_group_symop_operation_xyz
'x,y,z'
loop_
_atom_site_label
_atom_site_fract_x
_atom_site_fract_y
_atom_site_fract_z
Mn1 0.000 0.000 0.000
Br1 0.000 0.000 0.500
Br2 0.000 0.500 0.000
Br3 0.500 0.000 0.000
Cl1 0.500 0.500 0.500
# Calculated total energy, eV per cell: -86.43
# SG: Pm-3m
# Density, g/cm3: 4.5

Record 11
# BaAlRh (SCAN, single point on PBEsol structure)
data_BaAlRh
_space_group_name_H-M_alt 'P 1'
_space_group_IT_number 1
_cell_length_a 6.584
_cell_length_b 6.584
_cell_length_c 6.584
_cell_angle_alpha 151.18
_cell_angle_beta 151.18
_cell_angle_gamma 41.21
loop_
_space_group_symop_operation_xyz
'x,y,z'
loop_
_atom_site_label
_atom_site_fract_x
_atom_site_fract_y
_atom_site_fract_z
Ba1 0.000 0.000 0.000
Al1 0.278 0.278 0.000
Rh1 0.697 0.697 0.000
# Calculated total energy, eV per cell: -82.32
# SG: I4mm
# Density, g/cm3: 6.7

Record 12
# YSc2Tl (SCAN, single point on PBEsol structure)
data_YSc2Tl
_space_group_name_H-M_alt 'P 1'
_space_group_IT_number 1
_cell_length_a 3.466
_cell_length_b 4.423
_cell_length_c 6.386
_cell_angle_alpha 90.00
_cell_angle_beta 90.00
_cell_angle_gamma 90.00
loop_
_space_group_symop_operation_xyz
'x,y,z'
loop_
_atom_site_label
_atom_site_fract_x
_atom_site_fract_y
_atom_site_fract_z
Y1 0.000 0.000 0.000
Sc1 0.000 0.000 0.499
Sc2 0.500 0.500 0.267
Tl1 0.500 0.500 0.743
# Calculated total energy, eV per cell: -129.76
# SG: Pmm2
# Density, g/cm3: 6.5

Record 13
# Ba2NiP2O8 (SCAN, single point on PBEsol structure)
data_Ba2NiP2O8
_space_group_name_H-M_alt 'P 1'
_space_group_IT_number 1
_cell_length_a 5.300
_cell_length_b 8.815
_cell_length_c 16.767
_cell_angle_alpha 90.00
_cell_angle_beta 107.50
_cell_angle_gamma 90.00
loop_
_space_group_symop_operation_xyz
'x,y,z'
loop_
_atom_site_label
_atom_site_fract_x
_atom_site_fract_y
_atom_site_fract_z
Ba1 0.028 0.152 0.270
Ba2 0.028 0.348 0.770
Ba3 0.175 0.705 0.981
Ba4 0.175 0.795 0.481
Ba5 0.825 0.205 0.519
Ba6 0.825 0.295 0.019
Ba7 0.972 0.652 0.230
Ba8 0.972 0.848 0.730
Ni1 0.407 0.009 0.133
Ni2 0.407 0.491 0.633
Ni3 0.593 0.509 0.367
Ni4 0.593 0.991 0.867
P1 0.192 0.085 0.921
P2 0.192 0.415 0.421
P3 0.421 0.114 0.667
P4 0.421 0.386 0.167
P5 0.579 0.614 0.833
P6 0.579 0.886 0.333
P7 0.808 0.585 0.579
P8 0.808 0.915 0.079
O1 0.095 0.635 0.627
O2 0.095 0.865 0.127
O3 0.225 0.086 0.015
O4 0.225 0.414 0.515
O5 0.244 0.029 0.589
O6 0.244 0.471 0.089
O7 0.245 0.572 0.388
O8 0.245 0.928 0.888
O9 0.287 0.616 0.834
O10 0.287 0.884 0.334
O11 0.309 0.222 0.167
O12 0.309 0.278 0.667
O13 0.390 0.195 0.899
O14 0.390 0.305 0.399
O15 0.393 0.031 0.746
O16 0.393 0.469 0.246
O17 0.607 0.531 0.754
O18 0.607 0.969 0.254
O19 0.610 0.695 0.601
O20 0.610 0.805 0.101
O21 0.691 0.722 0.333
O22 0.691 0.778 0.833
O23 0.713 0.116 0.666
O24 0.713 0.384 0.166
O25 0.755 0.072 0.112
O26 0.755 0.428 0.612
O27 0.756 0.529 0.911
O28 0.756 0.971 0.411
O29 0.775 0.586 0.485
O30 0.775 0.914 0.985
O31 0.905 0.135 0.873
O32 0.905 0.365 0.373
# Calculated total energy, eV per cell: -808.82
# SG: P2_1/c
# Density, g/cm3: 4.7

Record 14
# RbLiIn2W (SCAN, single point on PBEsol structure)
data_RbLiIn2W
_space_group_name_H-M_alt 'P 1'
_space_group_IT_number 1
_cell_length_a 5.321
_cell_length_b 5.321
_cell_length_c 5.430
_cell_angle_alpha 90.00
_cell_angle_beta 90.00
_cell_angle_gamma 90.00
loop_
_space_group_symop_operation_xyz
'x,y,z'
loop_
_atom_site_label
_atom_site_fract_x
_atom_site_fract_y
_atom_site_fract_z
Rb1 0.000 0.000 0.000
Li1 0.500 0.500 0.000
In1 0.000 0.500 0.500
In2 0.500 0.000 0.500
W1 0.500 0.500 0.500
# Calculated total energy, eV per cell: -156.42
# SG: P4/mmm
# Density, g/cm3: 5.5

Record 15
# ZrPb2O2 (SCAN, single point on PBEsol structure)
data_ZrPb2O2
_space_group_name_H-M_alt 'P 1'
_space_group_IT_number 1
_cell_length_a 5.688
_cell_length_b 5.688
_cell_length_c 3.926
_cell_angle_alpha 90.00
_cell_angle_beta 90.00
_cell_angle_gamma 90.00
loop_
_space_group_symop_operation_xyz
'x,y,z'
loop_
_atom_site_label
_atom_site_fract_x
_atom_site_fract_y
_atom_site_fract_z
Zr1 0.000 0.000 0.000
Pb1 0.000 0.500 0.000
Pb2 0.500 0.000 0.000
O1 0.000 0.000 0.500
O2 0.500 0.500 0.500
# Calculated total energy, eV per cell: -196.19
# SG: P4/mmm
# Density, g/cm3: 7.0

Record 16
# BaCa2HgRu (SCAN, single point on PBEsol structure)
data_BaCa2HgRu
_space_group_name_H-M_alt 'P 1'
_space_group_IT_number 1
_cell_length_a 5.567
_cell_length_b 5.567
_cell_length_c 5.236
_cell_angle_alpha 90.00
_cell_angle_beta 90.00
_cell_angle_gamma 90.00
loop_
_space_group_symop_operation_xyz
'x,y,z'
loop_
_atom_site_label
_atom_site_fract_x
_atom_site_fract_y
_atom_site_fract_z
Ba1 0.000 0.000 0.000
Ca1 0.000 0.500 0.500
Ca2 0.500 0.000 0.500
Hg1 0.500 0.500 0.500
Ru1 0.500 0.500 0.000
# Calculated total energy, eV per cell: -160.04
# SG: P4/mmm
# Density, g/cm3: 5.3

Record 17
# BaIn2GaH (SCAN, single point on PBEsol structure)
data_BaIn2GaH
_space_group_name_H-M_alt 'P 1'
_space_group_IT_number 1
_cell_length_a 6.412
_cell_length_b 6.412
_cell_length_c 4.328
_cell_angle_alpha 90.00
_cell_angle_beta 90.00
_cell_angle_gamma 90.00
loop_
_space_group_symop_operation_xyz
'x,y,z'
loop_
_atom_site_label
_atom_site_fract_x
_atom_site_fract_y
_atom_site_fract_z
Ba1 0.000 0.000 0.000
In1 0.000 0.500 0.000
In2 0.500 0.000 0.000
Ga1 0.500 0.500 0.500
H1 0.000 0.000 0.500
# Calculated total energy, eV per cell: -122.75
# SG: P4/mmm
# Density, g/cm3: 4.1

Record 18
# ReB2Mo2 (SCAN, single point on PBEsol structure)
data_ReB2Mo2
_space_group_name_H-M_alt 'P 1'
_space_group_IT_number 1
_cell_length_a 5.969
_cell_length_b 5.969
_cell_length_c 3.104
_cell_angle_alpha 90.00
_cell_angle_beta 90.00
_cell_angle_gamma 90.00
loop_
_space_group_symop_operation_xyz
'x,y,z'
loop_
_atom_site_label
_atom_site_fract_x
_atom_site_fract_y
_atom_site_fract_z
Re1 0.000 0.000 0.000
Re2 0.500 0.500 0.000
B1 0.115 0.385 0.000
B2 0.385 0.885 0.000
B3 0.615 0.115 0.000
B4 0.885 0.615 0.000
Mo1 0.170 0.670 0.500
Mo2 0.330 0.170 0.500
Mo3 0.670 0.830 0.500
Mo4 0.830 0.330 0.500
# Calculated total energy, eV per cell: -314.61
# SG: P4/mbm
# Density, g/cm3: 12.0

Record 19
# Al4Cl5 (SCAN, single point on PBEsol structure)
data_Al4Cl5
_space_group_name_H-M_alt 'P 1'
_space_group_IT_number 1
_cell_length_a 8.858
_cell_length_b 8.858
_cell_length_c 8.858
_cell_angle_alpha 92.27
_cell_angle_beta 92.27
_cell_angle_gamma 157.02
loop_
_space_group_symop_operation_xyz
'x,y,z'
loop_
_atom_site_label
_atom_site_fract_x
_atom_site_fract_y
_atom_site_fract_z
Al1 0.000 0.214 0.214
Al2 0.000 0.786 0.786
Al3 0.214 0.000 0.214
Al4 0.786 0.000 0.786
Cl1 0.000 0.000 0.000
Cl2 0.343 0.343 0.687
Cl3 0.343 0.657 0.000
Cl4 0.657 0.343 0.000
Cl5 0.657 0.657 0.313
# Calculated total energy, eV per cell: -74.64
# SG: I4/mmm
# Density, g/cm3: 1.8

Record 20
# CoCuPb3 (SCAN, single point on PBEsol structure)
data_CoCuPb3
_space_group_name_H-M_alt 'P 1'
_space_group_IT_number 1
_cell_length_a 5.088
_cell_length_b 5.088
_cell_length_c 5.088
_cell_angle_alpha 90.00
_cell_angle_beta 90.00
_cell_angle_gamma 90.00
loop_
_space_group_symop_operation_xyz
'x,y,z'
loop_
_atom_site_label
_atom_site_fract_x
_atom_site_fract_y
_atom_site_fract_z
Co1 0.000 0.000 0.000
Cu1 0.500 0.500 0.500
Pb1 0.000 0.500 0.500
Pb2 0.500 0.000 0.500
Pb3 0.500 0.500 0.000
# Calculated total energy, eV per cell: -256.28
# SG: Pm-3m
# Density, g/cm3: 9.4

Record 21
# Al2CoBr (SCAN, single point on PBEsol structure)
data_Al2CoBr
_space_group_name_H-M_alt 'P 1'
_space_group_IT_number 1
_cell_length_a 7.879
_cell_length_b 7.879
_cell_length_c 7.879
_cell_angle_alpha 157.96
_cell_angle_beta 155.92
_cell_angle_gamma 32.87
loop_
_space_group_symop_operation_xyz
'x,y,z'
loop_
_atom_site_label
_atom_site_fract_x
_atom_site_fract_y
_atom_site_fract_z
Al1 0.000 0.000 0.000
Al2 0.675 0.175 0.500
Co1 0.555 0.555 0.000
Br1 0.287 0.787 0.500
# Calculated total energy, eV per cell: -52.32
# SG: Imm2
# Density, g/cm3: 4.3

Record 22
# ZnPdN2O (SCAN, single point on PBEsol structure)
data_ZnPdN2O
_space_group_name_H-M_alt 'P 1'
_space_group_IT_number 1
_cell_length_a 3.760
_cell_length_b 3.760
_cell_length_c 4.142
_cell_angle_alpha 90.00
_cell_angle_beta 90.00
_cell_angle_gamma 90.00
loop_
_space_group_symop_operation_xyz
'x,y,z'
loop_
_atom_site_label
_atom_site_fract_x
_atom_site_fract_y
_atom_site_fract_z
Zn1 0.000 0.000 0.000
Pd1 0.500 0.500 0.500
N1 0.000 0.500 0.500
N2 0.500 0.000 0.500
O1 0.500 0.500 0.000
# Calculated total energy, eV per cell: -65.06
# SG: P4/mmm
# Density, g/cm3: 6.1

Record 23
# AlIr3Ru (SCAN, single point on PBEsol structure)
data_AlIr3Ru
_space_group_name_H-M_alt 'P 1'
_space_group_IT_number 1
_cell_length_a 4.338
_cell_length_b 4.338
_cell_length_c 4.338
_cell_angle_alpha 90.00
_cell_angle_beta 90.00
_cell_angle_gamma 90.00
loop_
_space_group_symop_operation_xyz
'x,y,z'
loop_
_atom_site_label
_atom_site_fract_x
_atom_site_fract_y
_atom_site_fract_z
Al1 0.000 0.000 0.000
Ir1 0.000 0.000 0.500
Ir2 0.000 0.500 0.000
Ir3 0.500 0.000 0.000
Ru1 0.500 0.500 0.500
# Calculated total energy, eV per cell: -249.12
# SG: Pm-3m
# Density, g/cm3: 14.3